# 1
TaSn4Pd15 after structural relaxation. Source: the Alexandria database, functional PBE.

Calculated values
The value obtained for the total energy is -0.4259 Ry per atom. For the size of the total moment, the calculation gives 0.00 Bohr magnetons per cell. The density comes out at 11.46 g/cm3.

Lattice parameters (Å, degrees): 4.0217 4.0217 20.1694 90.00 90.00 90.00
Sites, in units of the cell vectors:
Pd (0.5000, 0.0000, 0.9059)
Pd (0.0000, 0.5000, 0.5000)
Pd (0.5000, 0.0000, 0.0941)
Pd (0.5000, 0.0000, 0.5000)
Pd (0.0000, 0.5000, 0.9059)
Pd (0.5000, 0.5000, 0.6010)
Pd (0.0000, 0.5000, 0.7014)
Pd (0.5000, 0.0000, 0.2986)
Pd (0.5000, 0.5000, 0.0000)
Pd (0.0000, 0.5000, 0.2986)
Pd (0.5000, 0.5000, 0.8041)
Pd (0.5000, 0.0000, 0.7014)
Pd (0.0000, 0.5000, 0.0941)
Pd (0.5000, 0.5000, 0.1959)
Pd (0.5000, 0.5000, 0.3990)
Sn (0.0000, 0.0000, 0.5997)
Sn (0.0000, 0.0000, 0.2014)
Sn (0.0000, 0.0000, 0.7986)
Sn (0.0000, 0.0000, 0.4003)
Ta (0.0000, 0.0000, 0.0000)

# 2
Ta2SnPd9 after structural relaxation. Source: the Alexandria database, functional PBE.

Calculated values
The value obtained for the total energy is -0.4884 Ry per atom. For the size of the total moment, the calculation gives 0.00 Bohr magnetons per cell. The density comes out at 12.46 g/cm3.

Lattice parameters (Å, degrees): 3.9838 3.9838 12.0769 90.00 90.00 90.00
Sites, in units of the cell vectors:
Pd (0.5000, 0.5000, 0.0000)
Pd (0.0000, 0.5000, 0.8215)
Pd (0.0000, 0.5000, 0.1785)
Pd (0.5000, 0.5000, 0.6603)
Pd (0.5000, 0.0000, 0.1785)
Pd (0.5000, 0.0000, 0.8215)
Pd (0.5000, 0.0000, 0.5000)
Pd (0.5000, 0.5000, 0.3397)
Pd (0.0000, 0.5000, 0.5000)
Ta (0.0000, 0.0000, 0.6690)
Ta (0.0000, 0.0000, 0.3310)
Sn (0.0000, 0.0000, 0.0000)

# 3
TaSnPd3 after structural relaxation. Source: the Alexandria database, functional PBE.

Calculated values
The value obtained for the total energy is -0.3846 Ry per atom. Its energy above the most stable polymorph in this dataset is 362 meV/atom. For the size of the total moment, the calculation gives 0.00 Bohr magnetons per cell. The density comes out at 9.31 g/cm3.

Lattice parameters (Å, degrees): 4.7977 4.7977 4.7977 90.00 90.00 90.00
Sites, in units of the cell vectors:
Pd (0.0000, 0.5000, 0.0000)
Pd (0.5000, 0.0000, 0.0000)
Pd (0.0000, 0.0000, 0.5000)
Sn (0.0000, 0.0000, 0.0000)
Ta (0.5000, 0.5000, 0.5000)

# 4
TaSn2Pd9 after structural relaxation. Source: the Alexandria database, functional PBE.

Calculated values
The value obtained for the total energy is -0.4446 Ry per atom. For the size of the total moment, the calculation gives 0.00 Bohr magnetons per cell. The density comes out at 11.76 g/cm3.

Lattice parameters (Å, degrees): 4.0068 4.0068 12.1082 90.00 90.00 90.00
Sites, in units of the cell vectors:
Pd (0.5000, 0.5000, 0.0000)
Pd (0.0000, 0.5000, 0.1576)
Pd (0.5000, 0.5000, 0.6717)
Pd (0.0000, 0.5000, 0.5000)
Pd (0.5000, 0.0000, 0.5000)
Pd (0.0000, 0.5000, 0.8424)
Pd (0.5000, 0.5000, 0.3283)
Pd (0.5000, 0.0000, 0.1576)
Pd (0.5000, 0.0000, 0.8424)
Sn (0.0000, 0.0000, 0.3356)
Sn (0.0000, 0.0000, 0.6644)
Ta (0.0000, 0.0000, 0.0000)

# 5
TaSn2Pd after structural relaxation. Source: the Alexandria database, functional PBE.

Calculated values
The value obtained for the total energy is -0.4527 Ry per atom. Its energy above the most stable polymorph in this dataset is 0 meV/atom. For the size of the total moment, the calculation gives 0.00 Bohr magnetons per cell. The density comes out at 10.33 g/cm3.

Lattice parameters (Å, degrees): 3.1252 3.1252 10.1352 81.13 81.13 60.00
Sites, in units of the cell vectors:
Sn (0.9131, 0.9131, 0.2606)
Sn (0.0869, 0.0869, 0.7394)
Pd (0.0000, 0.0000, 0.0000)
Ta (0.5000, 0.5000, 0.5000)

# 6
TaSn3Pd after structural relaxation. Source: the Alexandria database, functional PBE.

Calculated values
The value obtained for the total energy is -0.3779 Ry per atom. Its energy above the most stable polymorph in this dataset is 0 meV/atom. For the size of the total moment, the calculation gives 0.00 Bohr magnetons per cell. The density comes out at 7.05 g/cm3.

Lattice parameters (Å, degrees): 5.3309 5.3309 5.3309 90.00 90.00 90.00
Sites, in units of the cell vectors:
Ta (0.0000, 0.0000, 0.0000)
Sn (0.5000, 0.0000, 0.0000)
Sn (0.0000, 0.0000, 0.5000)
Sn (0.0000, 0.5000, 0.0000)
Pd (0.5000, 0.5000, 0.5000)

# 7
TaSnPd3 after structural relaxation. Source: the Alexandria database, functional PBE.

Calculated values
The value obtained for the total energy is -0.4113 Ry per atom. Its energy above the most stable polymorph in this dataset is 0 meV/atom. For the size of the total moment, the calculation gives 0.00 Bohr magnetons per cell. The density comes out at 8.78 g/cm3.

Lattice parameters (Å, degrees): 4.8918 4.8918 4.8918 90.00 90.00 90.00
Sites, in units of the cell vectors:
Pd (0.0000, 0.5000, 0.0000)
Pd (0.0000, 0.0000, 0.5000)
Pd (0.5000, 0.0000, 0.0000)
Ta (0.0000, 0.0000, 0.0000)
Sn (0.5000, 0.5000, 0.5000)

# 8
TaSn3Pd after structural relaxation. Source: the Alexandria database, functional PBE.

Calculated values
The value obtained for the total energy is -0.3614 Ry per atom. Its energy above the most stable polymorph in this dataset is 225 meV/atom. For the size of the total moment, the calculation gives 0.01 Bohr magnetons per cell. The density comes out at 8.11 g/cm3.

Lattice parameters (Å, degrees): 5.0879 5.0879 5.0879 90.00 90.00 90.00
Sites, in units of the cell vectors:
Sn (0.0000, 0.0000, 0.5000)
Sn (0.0000, 0.5000, 0.0000)
Sn (0.5000, 0.0000, 0.0000)
Ta (0.5000, 0.5000, 0.5000)
Pd (0.0000, 0.0000, 0.0000)

# 9
TaSn2Pd after structural relaxation. Source: the Alexandria database, functional PBE.

Calculated values
The value obtained for the total energy is -0.4406 Ry per atom. Its energy above the most stable polymorph in this dataset is 164 meV/atom. For the size of the total moment, the calculation gives 0.00 Bohr magnetons per cell. The density comes out at 10.01 g/cm3.

Lattice parameters (Å, degrees): 4.2898 4.2898 9.9347 77.53 77.53 90.00
Sites, in units of the cell vectors:
Pd (0.2500, 0.7500, 0.5000)
Pd (0.5000, 0.5000, 0.0000)
Ta (0.7500, 0.2500, 0.5000)
Ta (0.0000, 0.0000, 0.0000)
Sn (0.6195, 0.1250, 0.2500)
Sn (0.3750, 0.3805, 0.7500)
Sn (0.8750, 0.8695, 0.7500)
Sn (0.1305, 0.6250, 0.2500)

# 10
YTaSn2Pd after structural relaxation. Source: the Alexandria database, functional PBE.

Calculated values
The value obtained for the total energy is -0.4431 Ry per atom. For the size of the total moment, the calculation gives 0.01 Bohr magnetons per cell. The density comes out at 7.42 g/cm3.

Lattice parameters (Å, degrees): 5.2645 4.9582 5.2645 90.00 90.00 90.00
Sites, in units of the cell vectors:
Y (0.5000, 0.5000, 0.5000)
Pd (0.0000, 0.5000, 0.0000)
Sn (0.0000, 0.0000, 0.5000)
Sn (0.5000, 0.0000, 0.0000)
Ta (0.0000, 0.0000, 0.0000)

# 11
TbSn3Pd6 after structural relaxation. Source: the Alexandria database, functional PBE.

Calculated values
The value obtained for the total energy is -0.3934 Ry per atom. For the size of the total moment, the calculation gives 0.00 Bohr magnetons per cell. The density comes out at 9.77 g/cm3.

Lattice parameters (Å, degrees): 3.8912 9.2103 11.2224 102.76 90.00 90.00
Sites, in units of the cell vectors:
Tb (0.2500, 0.9740, 0.2664)
Tb (0.7500, 0.0260, 0.7336)
Pd (0.7500, 0.7704, 0.3286)
Pd (0.7500, 0.4262, 0.0614)
Pd (0.7500, 0.8067, 0.0751)
Pd (0.7500, 0.4305, 0.5844)
Pd (0.7500, 0.0981, 0.4780)
Pd (0.2500, 0.2296, 0.6714)
Pd (0.2500, 0.5695, 0.4156)
Pd (0.2500, 0.9019, 0.5220)
Pd (0.2500, 0.5738, 0.9386)
Pd (0.2500, 0.3055, 0.2039)
Pd (0.2500, 0.1933, 0.9249)
Pd (0.7500, 0.6945, 0.7961)
Sn (0.7500, 0.7091, 0.5616)
Sn (0.7500, 0.1287, 0.0845)
Sn (0.7500, 0.3918, 0.8173)
Sn (0.2500, 0.6082, 0.1827)
Sn (0.2500, 0.2909, 0.4384)
Sn (0.2500, 0.8713, 0.9155)

# 12
TbSnPd14 after structural relaxation. Source: the Alexandria database, functional PBE.

Calculated values
The value obtained for the total energy is -0.3972 Ry per atom. For the size of the total moment, the calculation gives 0.00 Bohr magnetons per cell. The density comes out at 11.31 g/cm3.

Lattice parameters (Å, degrees): 5.7335 5.7335 7.8960 90.00 90.00 90.00
Sites, in units of the cell vectors:
Pd (0.3750, 0.8750, 0.5000)
Pd (0.6226, 0.1274, 0.7549)
Pd (0.1274, 0.1274, 0.2451)
Pd (0.3750, 0.3750, 0.0000)
Pd (0.8750, 0.8750, 0.0000)
Pd (0.1274, 0.6226, 0.2451)
Pd (0.8750, 0.3750, 0.0000)
Pd (0.3750, 0.8750, 0.0000)
Pd (0.6226, 0.1274, 0.2451)
Pd (0.8750, 0.3750, 0.5000)
Pd (0.1274, 0.1274, 0.7549)
Pd (0.1274, 0.6226, 0.7549)
Pd (0.6226, 0.6226, 0.2451)
Pd (0.6226, 0.6226, 0.7549)
Sn (0.3750, 0.3750, 0.5000)
Tb (0.8750, 0.8750, 0.5000)